## LiCr2F (SCAN)

Data for a crystal of LiCr2F relaxed with PBEsol.

Cell lengths 3.009, 3.009, 24.535 Å; angles 90.00, 90.00, 90.00 degrees
Space group I-42d (No. 122)
Inequivalent atoms, fractional coordinates:
1 Li 0.000 0.000 0.000 [4 per cell]
2 Cr 0.233 0.750 0.125 [8 per cell]
3 F 0.000 0.000 0.500 [4 per cell]

E_form (uncorrected): -3.94 kcal/mol of atoms

***

## ZnSi2Tc (SCAN)

Data for a crystal of ZnSi2Tc relaxed with PBEsol.

Cell lengths 3.790, 3.790, 7.322 Å; angles 90.00, 90.00, 90.00 degrees
Space group I4/mmm (No. 139)
Inequivalent atoms, fractional coordinates:
1 Zn 0.000 0.000 0.000 [2 per cell]
2 Si 0.000 0.500 0.250 [4 per cell]
3 Tc 0.000 0.000 0.500 [2 per cell]

Distance to the lowest polymorph of the same formula: 178 meV per atom
E_form (uncorrected): 1.92 kcal/mol of atoms

***

## Sr3Al (SCAN)

Data for a crystal of Sr3Al relaxed with PBEsol.

Cell lengths 5.863, 7.593, 6.626 Å; angles 90.00, 90.00, 90.00 degrees
Space group Pmmn (No. 59, origin choice 2)
Inequivalent atoms, fractional coordinates:
1 Sr 0.250 0.001 0.164 [4 per cell]
2 Sr 0.250 0.250 0.618 [2 per cell]
3 Al 0.250 0.750 0.699 [2 per cell]

DFT formation energy: 0.03 eV/atom

***

## Os2PtSe (SCAN)

Data for a crystal of Os2PtSe relaxed with PBEsol.

Cell lengths 3.964, 3.964, 7.573 Å; angles 90.00, 90.00, 90.00 degrees
Space group I-4m2 (No. 119)
Inequivalent atoms, fractional coordinates:
1 Os 0.000 0.000 0.000 [2 per cell]
2 Os 0.000 0.500 0.250 [2 per cell]
3 Pt 0.000 0.000 0.500 [2 per cell]
4 Se 0.000 0.500 0.750 [2 per cell]

E_form (uncorrected): 18.06 kcal/mol of atoms

***

## RbH3Se (SCAN)

Data for a crystal of RbH3Se relaxed with PBEsol.

Cell lengths 4.882, 4.882, 4.882 Å; angles 90.00, 90.00, 90.00 degrees
Space group Pm-3m (No. 221)
Inequivalent atoms, fractional coordinates:
1 Rb 0.000 0.000 0.000 [1 per cell]
2 H 0.000 0.000 0.500 [3 per cell]
3 Se 0.500 0.500 0.500 [1 per cell]

Distance to the lowest polymorph of the same formula: 1081 meV per atom

***

## Cd3Au2 (SCAN)

Data for a crystal of Cd3Au2 relaxed with PBEsol.

Cell lengths 4.6040, 4.6040, 5.5983 Å; angles 90.00, 90.00, 120.00 degrees
Space group P-3m1 (No. 164)
Inequivalent atoms, fractional coordinates:
1 Cd 0.0000 0.0000 0.0000 [1 per cell]
2 Cd 0.3333 0.6667 0.3557 [2 per cell]
3 Au 0.3333 0.6667 0.8458 [2 per cell]

Distance to the lowest polymorph of the same formula: 0 meV per atom
DFT formation energy: -0.26 eV/atom

***

| no. | DFT total energy (eV per cell) | M_tot (μB/cell) |
| --- | --- | --- |
| 1 | -173.5 | 0.00 |
| 2 | -136.5 | 0.00 |
| 3 | -148.9 | 0.71 |
| 4 | -461.8 | 0.00 |
| 5 | -44.8 | 1.98 |
| 6 | -230.8 | 0.00 |